15
Lattice="5.781 0.000 0.000 -2.890 5.006 0.000 0.000 0.000 7.248" Properties=species:S:1:pos:R:3 comment="LiTl3Re2O9, relaxed, DFT GGA-PBE" spacegroup="No. 164" crystal_system=trigonal pbc="T T T"
Tl 0.000 0.000 0.000
Tl 2.890 1.669 2.431
Tl 0.000 3.337 4.817
Re 0.000 3.337 1.233
Re 2.890 1.669 6.015
O 2.890 3.207 5.059
O 0.000 1.799 2.189
O 1.558 0.900 5.059
O -1.332 4.107 2.189
O -1.445 2.503 0.000
O 1.332 4.107 2.189
O 4.223 0.900 5.059
O 1.445 2.503 0.000
O 2.890 0.000 0.000
Li 0.000 0.000 3.624

***

8
Lattice="-4.778 -1.250 2.562 4.558 -3.146 0.530 3.198 4.260 1.606" Properties=species:S:1:pos:R:3 comment="Li2TlReO4, relaxed, DFT GGA-PBE" spacegroup="No. 121" crystal_system=tetragonal pbc="T T T"
O 0.614 -0.269 2.625
O 2.943 -0.971 0.544
O 4.732 0.473 2.725
O 2.444 1.745 0.939
Re 3.878 0.557 1.068
Li 1.829 -1.920 2.080
Li 1.149 1.784 2.618
Tl 0.000 0.000 0.000

***

8
Lattice="6.142 0.001 -0.004 -0.001 6.142 -0.002 -3.069 -3.071 3.717" Properties=species:S:1:pos:R:3 comment="LiTl2ReO4, relaxed, DFT GGA-PBE" spacegroup="No. 82" crystal_system=tetragonal pbc="T T T"
O 4.679 2.456 1.128
O 2.456 1.464 2.370
O 3.689 -1.461 2.369
O 1.462 3.688 1.131
Tl 0.001 3.071 3.608
Tl 0.000 -0.001 1.753
Re 3.072 3.072 1.749
Li 3.074 0.001 3.607

***

12
Lattice="5.979 -0.159 0.227 -3.126 5.099 0.227 -0.700 -1.213 6.050" Properties=species:S:1:pos:R:3 comment="Li2Tl3ReO6, relaxed, DFT GGA-PBE" spacegroup="No. 12" crystal_system=monoclinic pbc="T T T"
Tl -1.874 3.568 3.252
Tl 1.076 1.864 3.252
Tl 4.027 0.160 3.252
Re 0.000 0.000 0.000
Li -0.516 3.592 0.227
Li 3.369 1.348 0.227
O -0.671 1.578 0.849
O 0.450 3.520 5.655
O -0.092 -0.159 4.551
O 2.245 3.886 1.953
O 1.703 0.207 0.849
O 2.824 2.149 5.655

***

11
Lattice="5.868 0.000 0.000 2.934 5.082 0.000 2.934 1.694 5.210" Properties=species:S:1:pos:R:3 comment="Li2Tl2ReO6, relaxed, DFT GGA-PBE" spacegroup="No. 166" crystal_system=trigonal pbc="T T T"
O 5.868 5.248 4.075
O 4.258 2.458 4.075
O 7.479 4.318 1.136
O 5.868 1.529 1.136
O 7.479 2.458 4.075
O 4.258 4.318 1.136
Tl 8.803 5.082 3.304
Tl 2.934 1.694 1.907
Re 0.000 0.000 0.000
Li 5.868 3.388 4.028
Li 5.868 3.388 1.182

***

18
Lattice="5.442 0.000 0.000 -2.721 4.713 0.000 0.000 0.000 9.319" Properties=species:S:1:pos:R:3 comment="LiUReO6, relaxed, DFT GGA-PBE" spacegroup="No. 163" crystal_system=trigonal pbc="T T T"
U 2.721 1.571 2.330
U 0.000 3.142 6.989
O -1.660 3.080 3.377
O -0.776 4.610 1.282
O 3.605 2.977 8.036
O 4.381 1.633 5.942
O 1.945 0.103 5.942
O 0.884 1.736 3.377
O 1.660 3.080 1.282
O 0.776 4.610 3.377
O 3.497 0.103 8.036
O 1.061 1.633 8.036
O 1.838 2.977 5.942
O -0.884 1.736 1.282
Li 0.000 0.000 0.000
Li 0.000 0.000 4.659
Re 0.000 3.142 2.330
Re 2.721 1.571 6.989

***

Number 1: formation energy (no corrections) -1345.2 meV per atom, total magnetic moment 0.00 μB/f.u.. Number 2: formation energy (no corrections) -1394.0 meV per atom, total magnetic moment 2.04 μB/f.u.. Number 3: formation energy (no corrections) -1270.7 meV per atom, total magnetic moment 0.00 μB/f.u.. Number 4: formation energy (no corrections) -1312.2 meV per atom, total magnetic moment 0.00 μB/f.u.. Number 5: formation energy (no corrections) -1322.3 meV per atom, total magnetic moment 0.00 μB/f.u.. Number 6: formation energy (no corrections) -2209.1 meV per atom, total magnetic moment 2.04 μB/f.u..